{"formula": "ZrMo2Cl", "functional": "PBEsol", "state": "optimized geometry", "lattice": [[-1.524, 2.331, 1.246], [-0.063, -2.136, 3.919], [4.477, 2.237, 1.291]], "species": ["Mo", "Mo", "Zr", "Cl"], "fractional_positions": [[0.000, 0.000, 0.783], [0.000, 0.000, 0.217], [0.500, 0.500, 0.000], [0.500, 0.500, 0.500]], "spacegroup": "No. 47", "mass_density_g_cm3": 7.515, "relative_energy_mev_per_atom": 430, "formation_energy_uncorrected_ev_per_atom": 0.336}